PaTlHg2 PBE-GGA relaxed; E = -2.97 eV/atom; formation enthalpy at 0 K = 13.8 kJ/mol of atoms
1.0
0.000 3.680 3.680
3.680 0.000 3.680
3.680 3.680 0.000
Pa Tl Hg
1 1 2
Cartesian
0.000 0.000 0.000
3.680 3.680 3.680
1.840 1.840 1.840
5.520 5.520 5.520